## Tc2BrCl (PBEsol)

Data for Tc2BrCl after structural relaxation.

a = 2.8981 Å, b = 5.2442 Å, c = 8.3218 Å
α = 90.00°, β = 90.00°, γ = 90.00°
Closest atoms and distances in Å follow each position.
Space group Immm (No. 71)
Symmetry-distinct sites (fractional):
Tc1 0.0000 0.0000 0.2311 (multiplicity 4)  2 Cl 2.41, 2 Br 2.67
Br1 0.0000 0.5000 0.0000 (multiplicity 2)  4 Tc 2.67, 2 Br 2.90
Cl1 0.0000 0.5000 0.5000 (multiplicity 2)  4 Tc 2.41

Its density of states at the Fermi level is 1.293 states/eV/atom. The energy above the most stable polymorph in this dataset comes out at 0.819 eV/atom. The uncorrected formation energy comes out at 877 meV/atom.